1.
Entry from the Alexandria database: Tl3Cl after structural relaxation (GGA-PBE).

Lattice parameters (Å, degrees): 7.0635 6.9293 10.2297 90.00 90.00 90.00
Atoms (fractional coordinates):
Tl: 0.5817 0.2345 0.5348
Cl: 0.8738 0.3472 0.7500
Tl: 0.7070 0.4938 0.2500
Cl: 0.1262 0.6528 0.2500
Tl: 0.4183 0.7655 0.0348
Cl: 0.6262 0.8472 0.7500
Tl: 0.9183 0.7345 0.9652
Tl: 0.0817 0.2655 0.4652
Tl: 0.0817 0.2655 0.0348
Cl: 0.3738 0.1528 0.2500
Tl: 0.2070 0.0062 0.7500
Tl: 0.4183 0.7655 0.4652
Tl: 0.2930 0.5062 0.7500
Tl: 0.5817 0.2345 0.9652
Tl: 0.9183 0.7345 0.5348
Tl: 0.7930 0.9938 0.2500

## Properties
As for the offset from the most stable computed form: 0 meV per atom.



2.
Entry from the Alexandria database: Na2TlRh after structural relaxation (GGA-PBE).

Lattice parameters (Å, degrees): 4.9374 4.9374 4.9374 60.00 60.00 60.00
Atoms (fractional coordinates):
Na: 0.7500 0.7500 0.7500
Rh: 0.0000 0.0000 0.0000
Tl: 0.5000 0.5000 0.5000
Na: 0.2500 0.2500 0.2500

## Properties
For the formation energy, the calculation gives 0.29 eV/atom.



3.
Entry from the Alexandria database: Tl3BIr after structural relaxation (GGA-PBE).

Lattice parameters (Å, degrees): 4.7654 4.7654 4.7654 90.00 90.00 90.00
Atoms (fractional coordinates):
Ir: 0.5000 0.5000 0.5000
Tl: 0.0000 0.0000 0.5000
Tl: 0.0000 0.5000 0.0000
Tl: 0.5000 0.0000 0.0000
B: 0.0000 0.0000 0.0000

## Properties
As for the offset from the most stable computed form: 87 meV per atom. For the formation energy, the calculation gives 1.18 eV/atom.



4.
Entry from the Alexandria database: Ag3OsPd after structural relaxation (GGA-PBE).

Lattice parameters (Å, degrees): 5.0271 5.0271 5.0271 90.00 90.00 90.00
Each line ends with the local moment (μB).
Atoms (fractional coordinates):
Pd: 0.5000 0.5000 0.5000  0.08
Ag: 0.0000 0.5000 0.0000  0.11
Ag: 0.5000 0.0000 0.0000  0.04
Os: 0.0000 0.0000 0.0000  1.75
Ag: 0.0000 0.0000 0.5000  0.21

## Properties
As for the offset from the most stable computed form: 0 meV per atom. For the formation energy, the calculation gives 1.68 eV/atom.



5.
Entry from the Alexandria database: TbCeTeP after structural relaxation (GGA-PBE).

Lattice parameters (Å, degrees): 4.1291 4.1291 7.7430 90.00 105.46 120.00
Each line ends with the local moment (μB).
Atoms (fractional coordinates):
Tb: 0.4967 0.1463 0.6582  -0.02
Ce: 0.1081 0.9520 0.0754  0.68
Te: 0.9714 0.3837 0.3703  -0.01
P: 0.3017 0.5488 0.8658  -0.01

## Properties
For the total energy, the calculation gives -6.25 eV per atom.